# 1
# AlMoCl4

A relaxed structure of AlMoCl4 (PBE-GGA, Alexandria via LeMat-Bulk).

```
AlMoCl4
1.0
0.000 4.188 4.188
4.188 0.000 4.188
4.188 4.188 0.000
Al Mo Cl
1 1 4
direct
0.000 0.000 0.000 Al
0.250 0.250 0.250 Mo
0.126 0.625 0.625 Cl
0.625 0.126 0.625 Cl
0.625 0.625 0.126 Cl
0.625 0.625 0.625 Cl
```

The value obtained for the uncorrected formation energy is 0.90 eV per atom. The value obtained for the total magnetization is 6.3 μB per formula unit. The symmetry is No. 216.

***

# 2
# TbDyTmTl

A relaxed structure of TbDyTmTl (PBE-GGA, Alexandria via LeMat-Bulk).

```
TbDyTmTl
1.0
4.826 0.000 0.000
0.000 4.832 0.000
0.000 0.000 4.850
Tb Dy Tm Tl
1 1 1 1
direct
0.000 0.000 0.000 Tb
0.500 0.500 0.000 Dy
0.500 0.000 0.500 Tm
0.000 0.500 0.500 Tl
```

The energy above the most stable polymorph in this dataset is 0 meV/atom. The value obtained for the total magnetization is 0.8 μB per formula unit. The symmetry is No. 47. The formation energy comes out at -0.175 eV per atom.

***

In order of appearance, total energy = -2.763 -4.193 eV per atom.
In order of appearance, D(E_F) = 8.66 5.12 states/eV/f.u..